No. 1
A relaxed structure of Nb2Fe2Ge, computed with GGA-PBE.

Cell and atoms, written as POSCAR:
```
Nb2Fe2Ge
1.0
-5.7460 -1.9497 -3.3043
2.0421 -6.5918 0.3384
-1.4420 -0.3086 2.6897
Ge Fe Nb
2 4 4
direct
0.0000 0.0000 0.0000
0.5000 0.5000 0.0000
0.8694 0.6306 0.0000
0.3694 0.8694 0.0000
0.6306 0.1306 0.0000
0.1306 0.3694 0.0000
0.3293 0.1707 0.5000
0.1707 0.6707 0.5000
0.6707 0.8293 0.5000
0.8293 0.3293 0.5000
```

Values from the calculation:
energy of formation	-29.7	meV/atom
crystal system	tetragonal
SG	No. 127
density of states at the Fermi level	5.47	states/eV per cell

---

No. 2
A relaxed structure of CaAl3Pd, computed with GGA-PBE.

Cell and atoms, written as POSCAR:
```
CaAl3Pd
1.0
-1.5713 0.8877 -3.7720
-5.8881 -3.0714 1.7301
-4.2458 4.9627 2.9367
Al Ca Pd
6 2 2
direct
0.3819 0.4190 0.7619
0.8819 0.2558 0.0442
0.8812 0.6755 0.5049
0.3812 0.9992 0.3012
0.8811 0.6780 0.8852
0.3811 0.9968 0.9208
0.8799 0.1496 0.5767
0.3798 0.5252 0.2294
0.3810 0.7999 0.6673
0.8809 0.8749 0.1387
```

Values from the calculation:
energy of formation	-548.0	meV/atom
crystal system	monoclinic
SG	No. 4
density of states at the Fermi level	4.48	states/eV per cell

---

No. 3
A relaxed structure of SrY3Cl, computed with GGA-PBE.

Cell and atoms, written as POSCAR:
```
SrY3Cl
1.0
-1.4843 5.1292 -0.9923
-4.0913 -1.7828 -3.0950
-3.2487 -0.0983 4.3511
Y Sr Cl
3 1 1
direct
0.0000 0.0000 0.5000
0.0000 0.5000 0.0000
0.5000 0.0000 0.0000
0.5000 0.5000 0.5000
0.0000 0.0000 0.0000
```

Values from the calculation:
polymorph energy (0 for the lowest one)	0.0000	eV/atom
formation energy without anion corrections	-0.356	eV per atom
crystal system	cubic
SG	No. 221
density of states at the Fermi level	7.78	states/eV per cell

---

No. 4
A relaxed structure of SiAsP2, computed with GGA-PBE.

Cell and atoms, written as POSCAR:
```
SiAsP2
1.0
3.1113 0.0000 0.0000
0.0000 4.4676 0.0000
0.0000 0.0000 4.4676
P As Si
2 1 1
direct
0.0000 0.0000 0.0000
0.0000 0.5000 0.5000
0.5000 0.0000 0.5000
0.5000 0.5000 0.0000
```

Values from the calculation:
polymorph energy (0 for the lowest one)	0.5032	eV/atom
formation energy without anion corrections	0.604	eV per atom
crystal system	tetragonal
SG	No. 123
density of states at the Fermi level	1.87	states/eV per cell

---

No. 5
A relaxed structure of HgSe3Cl, computed with GGA-PBE.

Cell and atoms, written as POSCAR:
```
HgSe3Cl
1.0
5.0581 0.0000 0.0000
0.0000 5.0581 0.0000
0.0000 0.0000 5.0581
Se Cl Hg
3 1 1
direct
0.0000 0.5000 0.0000
0.5000 0.0000 0.0000
0.0000 0.0000 0.5000
0.0000 0.0000 0.0000
0.5000 0.5000 0.5000
```

Values from the calculation:
polymorph energy (0 for the lowest one)	0.0000	eV/atom
formation energy without anion corrections	0.814	eV per atom
crystal system	cubic
SG	No. 221
density of states at the Fermi level	4.72	states/eV per cell

---

No. 6
A relaxed structure of CuSi2Ni2, computed with GGA-PBE.

Cell and atoms, written as POSCAR:
```
CuSi2Ni2
1.0
-3.4140 -0.5219 -0.5612
0.4167 -3.4146 0.6400
-2.4723 -1.1239 5.1778
Cu Si Ni
1 2 2
direct
0.0000 0.0000 0.0000
0.7500 0.2500 0.5000
0.2500 0.7500 0.5000
0.3882 0.3882 0.2236
0.6118 0.6118 0.7764
```

Values from the calculation:
polymorph energy (0 for the lowest one)	0.1813	eV/atom
formation energy without anion corrections	-0.098	eV per atom
crystal system	tetragonal
SG	No. 139
density of states at the Fermi level	1.89	states/eV per cell

---

No. 7
A relaxed structure of La2ScSe, computed with GGA-PBE.

Cell and atoms, written as POSCAR:
```
La2ScSe
1.0
-2.8769 -5.3996 -0.1293
0.5422 -3.2896 -5.1316
3.7851 2.9215 3.8193
La Se Sc
2 1 1
direct
0.2500 0.7500 0.5000
0.0000 0.0000 0.0000
0.7500 0.2500 0.5000
0.5000 0.5000 0.0000
```

Values from the calculation:
formation energy without anion corrections	-0.498	eV per atom
crystal system	tetragonal
SG	No. 119
density of states at the Fermi level	4.91	states/eV per cell

---

No. 8
A relaxed structure of Ca3DyIn2, computed with GGA-PBE.

Cell and atoms, written as POSCAR:
```
Ca3DyIn2
1.0
5.3205 0.0000 0.0000
0.0000 7.0821 0.0000
0.0000 0.0000 9.8488
In Ca Dy
4 6 2
direct
0.5000 0.2126 0.1496
0.0000 0.2854 0.6335
0.5000 0.7126 0.8504
0.0000 0.7854 0.3665
0.0000 0.9666 0.0479
0.0000 0.4666 0.9521
0.0000 0.8236 0.6845
0.0000 0.3236 0.3155
0.5000 0.1796 0.8177
0.5000 0.6796 0.1823
0.5000 0.0322 0.4550
0.5000 0.5322 0.5450
```

Values from the calculation:
energy of formation	-353.8	meV/atom
crystal system	orthorhombic
SG	No. 26
density of states at the Fermi level	11.42	states/eV per cell

---

No. 9
A relaxed structure of Ho8Tc2Pt, computed with GGA-PBE.

Cell and atoms, written as POSCAR:
```
Ho8Tc2Pt
1.0
5.7491 -0.0104 -1.0109
-1.9584 6.7631 -2.8758
-0.1284 -0.1491 7.6030
Ho Tc Pt
8 2 1
direct
0.1821 0.3649 0.3649
0.3906 0.6676 0.9275
0.9915 0.7929 0.2204
0.5862 0.0831 0.3476
0.3906 0.9275 0.6676
0.7908 0.6322 0.6322
0.9915 0.2204 0.7929
0.5862 0.3476 0.0831
0.4773 0.6920 0.3107
0.4773 0.3107 0.6920
0.1356 0.9951 0.9951
```

Values from the calculation:
energy of formation	-246.9	meV/atom
crystal system	monoclinic
SG	No. 8
density of states at the Fermi level	9.25	states/eV per cell

---

No. 10
A relaxed structure of Pr10Nd4Tm, computed with GGA-PBE.

Cell and atoms, written as POSCAR:
```
Pr10Nd4Tm
1.0
-5.0121 -9.3330 1.0809
2.2001 -7.7061 -3.8784
1.6754 -6.2687 6.0958
Pr Nd Tm
10 4 1
direct
0.7500 0.5000 0.5000
0.7771 0.6782 0.0907
0.4541 0.6782 0.0906
0.2229 0.3218 0.9094
0.8678 0.9093 0.6782
0.5447 0.9094 0.6782
0.1322 0.0906 0.3218
0.5460 0.3218 0.9093
0.4553 0.0907 0.3218
0.2500 0.5000 0.5000
0.3262 0.7304 0.6172
0.9434 0.3828 0.7304
0.0566 0.6172 0.2696
0.6738 0.2696 0.3828
0.0001 0.0000 0.0000
```

Values from the calculation:
energy of formation	299.9	meV/atom
crystal system	tetragonal
SG	No. 87
density of states at the Fermi level	20.43	states/eV per cell

---

No. 11
A relaxed structure of Li4AgPd2, computed with GGA-PBE.

Cell and atoms, written as POSCAR:
```
Li4AgPd2
1.0
4.3120 0.0000 0.0000
0.0000 4.8338 -2.1921
0.0000 0.1868 5.3043
Pd Li Ag
2 4 1
direct
0.0000 0.7282 0.2718
0.0000 0.2718 0.7282
0.5000 0.5000 0.0000
0.5000 0.0000 0.5000
0.0000 0.7803 0.7803
0.0000 0.2197 0.2197
0.5000 0.5000 0.5000
```

Values from the calculation:
polymorph energy (0 for the lowest one)	0.0000	eV/atom
energy of formation	-292.5	meV/atom
crystal system	orthorhombic
SG	No. 65
density of states at the Fermi level	2.29	states/eV per cell

---

No. 12
A relaxed structure of PdCl6, computed with GGA-PBE.

Cell and atoms, written as POSCAR:
```
PdCl6
1.0
6.8384 0.0000 0.0000
0.0000 8.5387 0.0000
0.0000 0.0000 14.9734
Cl Pd
24 4
direct
0.3892 0.9408 0.3169
0.4545 0.2500 0.2184
0.6108 0.4408 0.6831
0.1108 0.9408 0.8169
0.3892 0.5592 0.3169
0.9545 0.7500 0.2816
0.4138 0.7500 0.5077
0.9621 0.5505 0.4394
0.0379 0.4495 0.5606
0.6108 0.0592 0.6831
0.5455 0.7500 0.7816
0.1108 0.5592 0.8169
0.9621 0.9495 0.4394
0.0862 0.7500 0.0077
0.4621 0.4495 0.0606
0.5862 0.2500 0.4923
0.9138 0.2500 0.9923
0.0379 0.0505 0.5606
0.4621 0.0505 0.0606
0.5379 0.9495 0.9394
0.8892 0.4408 0.1831
0.5379 0.5505 0.9394
0.8892 0.0592 0.1831
0.0455 0.2500 0.7184
0.2149 0.7500 0.3859
0.2851 0.7500 0.8859
0.7851 0.2500 0.6141
0.7149 0.2500 0.1141
```

Values from the calculation:
formation energy without anion corrections	-0.099	eV per atom
crystal system	orthorhombic
SG	No. 62

---

No. 13
A relaxed structure of BeTl3Rh, computed with GGA-PBE.

Cell and atoms, written as POSCAR:
```
BeTl3Rh
1.0
-4.6260 -1.0656 -0.9725
0.6011 -4.3931 1.9546
-1.3115 1.7454 4.3261
Be Tl Rh
1 3 1
direct
0.0000 0.0000 0.0000
0.0000 0.5000 0.0000
0.5000 0.0000 0.0000
0.0000 0.0000 0.5000
0.5000 0.5000 0.5000
```

Values from the calculation:
polymorph energy (0 for the lowest one)	0.1594	eV/atom
energy of formation	740.7	meV/atom
crystal system	cubic
SG	No. 221
density of states at the Fermi level	2.52	states/eV per cell

---

No. 14
A relaxed structure of YTe2Se, computed with GGA-PBE.

Cell and atoms, written as POSCAR:
```
YTe2Se
1.0
-1.8846 -2.3934 2.9551
-0.5151 -3.1071 -2.8450
10.2621 -7.6844 3.3687
Y Se Te
2 2 4
direct
0.7500 0.2500 0.5000
0.0000 0.0000 0.0000
0.5000 0.5000 0.0000
0.2500 0.7500 0.5000
0.3750 0.3690 0.7500
0.8750 0.8810 0.7500
0.6310 0.1250 0.2500
0.1190 0.6250 0.2500
```

Values from the calculation:
formation energy without anion corrections	-0.760	eV per atom
crystal system	tetragonal
SG	No. 122
density of states at the Fermi level	3.03	states/eV per cell

---

No. 15
A relaxed structure of SrLiCd11, computed with GGA-PBE.

Cell and atoms, written as POSCAR:
```
SrLiCd11
1.0
-1.3196 0.7925 -5.6886
5.5064 -2.7994 -4.6393
-3.9670 -5.9217 -2.9573
Cd Li Sr
11 1 1
direct
0.7060 0.7786 0.7876
0.0166 0.6427 0.3464
0.4936 0.7786 0.2124
0.9834 0.3573 0.6536
0.5000 0.0000 0.5000
0.0000 0.0000 0.5000
0.6370 0.3573 0.3464
0.0000 0.5000 0.0000
0.3630 0.6427 0.6536
0.2940 0.2214 0.2124
0.5064 0.2214 0.7876
0.5000 0.5000 0.0000
0.0000 0.0000 0.0000
```

Values from the calculation:
energy of formation	-161.5	meV/atom
crystal system	monoclinic
SG	No. 12
density of states at the Fermi level	5.41	states/eV per cell

---

No. 16
A relaxed structure of RbCuB2Se4, computed with GGA-PBE.

Cell and atoms, written as POSCAR:
```
RbCuB2Se4
1.0
5.7088 0.0000 0.0000
2.8544 6.4760 -0.5910
2.8544 0.1298 6.5016
Se Rb Cu B
4 1 1 2
direct
0.3956 0.1927 0.5347
0.8770 0.5347 0.1927
0.1230 0.8073 0.4653
0.6044 0.4653 0.8073
0.0000 0.0000 0.0000
0.0000 0.5000 0.5000
0.5000 0.6644 0.3356
0.5000 0.3356 0.6644
```

Values from the calculation:
formation energy without anion corrections	-0.216	eV per atom
crystal system	orthorhombic
SG	No. 23
density of states at the Fermi level	0.00	states/eV per cell

---

No. 17
A relaxed structure of BeZn2Tc, computed with GGA-PBE.

Cell and atoms, written as POSCAR:
```
BeZn2Tc
1.0
5.0403 0.0047 0.0203
4.2916 2.6433 0.0203
1.7041 0.4836 3.7807
Tc Zn Be
1 2 1
direct
0.7500 0.7500 0.7500
0.5241 0.5241 0.4760
0.9759 0.9759 0.0240
0.2500 0.2500 0.2500
```

Values from the calculation:
energy of formation	48.6	meV/atom
crystal system	monoclinic
SG	No. 12
density of states at the Fermi level	2.19	states/eV per cell

---

No. 18
A relaxed structure of Pu2ScPa, computed with GGA-PBE.

Cell and atoms, written as POSCAR:
```
Pu2ScPa
1.0
5.1976 0.0000 0.0000
2.5988 4.5012 0.0000
2.5988 1.5004 4.2438
Sc Pu Pa
1 2 1
direct
0.5000 0.5000 0.5000
0.2500 0.2500 0.2500
0.7500 0.7500 0.7500
0.0000 0.0000 0.0000
```

Values from the calculation:
polymorph energy (0 for the lowest one)	0.1237	eV/atom
energy of formation	228.5	meV/atom
crystal system	cubic
SG	No. 225
density of states at the Fermi level	11.40	states/eV per cell

---

No. 19
A relaxed structure of Ba2MgAg3Sn4, computed with GGA-PBE.

Cell and atoms, written as POSCAR:
```
Ba2MgAg3Sn4
1.0
4.8036 0.0000 0.0000
0.0000 4.8036 0.0000
0.0000 0.0000 12.0769
Ag Ba Sn Mg
3 2 4 1
direct
0.5000 0.0000 0.8660
0.0000 0.5000 0.1340
0.0000 0.0000 0.5000
0.0000 0.5000 0.7503
0.5000 0.0000 0.2497
0.5000 0.5000 0.0000
0.0000 0.0000 0.0000
0.5000 0.0000 0.6348
0.0000 0.5000 0.3652
0.5000 0.5000 0.5000
```

Values from the calculation:
energy of formation	-415.4	meV/atom
crystal system	tetragonal
SG	No. 115
density of states at the Fermi level	4.99	states/eV per cell

---

No. 20
A relaxed structure of Er5Th2Pb4, computed with GGA-PBE.

Cell and atoms, written as POSCAR:
```
Er5Th2Pb4
1.0
5.3816 0.0000 0.0000
0.0000 10.5226 0.0000
-2.6908 -5.2613 6.4765
Pb Er Th
4 5 2
direct
0.3836 0.3836 0.7673
0.0000 0.7406 0.0000
0.6164 0.6163 0.2327
0.0000 0.2594 0.0000
0.5000 0.0000 0.0000
0.2412 0.5810 0.4823
0.2412 0.9014 0.4823
0.7588 0.0986 0.5177
0.7588 0.4190 0.5177
0.8546 0.8546 0.7093
0.1454 0.1454 0.2907
```

Values from the calculation:
energy of formation	98.7	meV/atom
crystal system	orthorhombic
SG	No. 71
density of states at the Fermi level	11.89	states/eV per cell

---

No. 21
A relaxed structure of Ac3Zn4Ge4, computed with GGA-PBE.

Cell and atoms, written as POSCAR:
```
Ac3Zn4Ge4
1.0
4.5488 -0.0005 0.0045
0.0004 4.4119 -0.0010
2.2681 2.1884 12.7663
Ge Ac Zn
4 3 4
direct
0.5516 0.5505 0.9001
0.3048 0.8053 0.3893
0.4484 0.4495 0.0999
0.6953 0.1947 0.6107
0.8523 0.3527 0.2949
0.0000 0.0000 0.0000
0.1477 0.6473 0.7051
0.7502 0.7505 0.4986
0.5950 0.0963 0.8077
0.4050 0.9037 0.1923
0.2499 0.2495 0.5014
```

Values from the calculation:
energy of formation	-552.9	meV/atom
crystal system	triclinic
SG	No. 2
density of states at the Fermi level	5.70	states/eV per cell

---

No. 22
A relaxed structure of MgMn2Cu, computed with GGA-PBE.

Cell and atoms, written as POSCAR:
```
MgMn2Cu
1.0
-1.1856 -7.9529 -4.1040
1.1738 -7.1700 -5.3583
1.2695 -8.4573 -2.8913
Mg Mn Cu
1 2 1
direct
0.7500 0.7500 0.7500
0.9942 0.9942 0.9942
0.5058 0.5058 0.5058
0.2500 0.2500 0.2500
```

Values from the calculation:
energy of formation	367.1	meV/atom
crystal system	trigonal
SG	No. 166
density of states at the Fermi level	3.99	states/eV per cell

---

No. 23
A relaxed structure of HfZrIn2Ni, computed with GGA-PBE.

Cell and atoms, written as POSCAR:
```
HfZrIn2Ni
1.0
5.4716 0.0000 0.0000
0.0000 5.0046 0.0000
0.0000 0.0000 5.4716
Ni Zr Hf In
1 1 1 2
direct
0.5000 0.5000 0.5000
0.0000 0.0000 0.0000
0.0000 0.5000 0.0000
0.0000 0.0000 0.5000
0.5000 0.0000 0.0000
```

Values from the calculation:
energy of formation	1336.6	meV/atom
crystal system	tetragonal
SG	No. 123
density of states at the Fermi level	7.28	states/eV per cell

---

No. 24
A relaxed structure of InPb3I, computed with GGA-PBE.

Cell and atoms, written as POSCAR:
```
InPb3I
1.0
-1.8036 -3.9082 -4.0725
0.4622 -4.3633 3.9825
-5.6255 0.8945 1.6329
I In Pb
1 1 3
direct
0.5000 0.5000 0.5000
0.0000 0.0000 0.0000
0.0000 0.0000 0.5000
0.0000 0.5000 0.0000
0.5000 0.0000 0.0000
```

Values from the calculation:
polymorph energy (0 for the lowest one)	0.0000	eV/atom
formation energy without anion corrections	0.354	eV per atom
crystal system	cubic
SG	No. 221
density of states at the Fermi level	8.45	states/eV per cell

---

Number 1: final energy -0.6149 Ry per atom. Number 2: final energy -0.3111 Ry per atom. Number 3: final energy -0.3631 Ry per atom. Number 4: final energy -0.3395 Ry per atom. Number 5: final energy -0.1254 Ry per atom. Number 6: final energy -0.3968 Ry per atom. Number 7: final energy -0.3980 Ry per atom. Number 8: final energy -0.2230 Ry per atom. Number 9: final energy -0.4417 Ry per atom. Number 10: final energy -0.3275 Ry per atom. Number 11: final energy -0.2409 Ry per atom. Number 12: final energy -0.1781 Ry per atom. Number 13: final energy -0.2128 Ry per atom. Number 14: final energy -0.3541 Ry per atom. Number 15: final energy -0.0891 Ry per atom. Number 16: final energy -0.3132 Ry per atom. Number 17: final energy -0.3022 Ry per atom. Number 18: final energy -0.8007 Ry per atom. Number 19: final energy -0.2511 Ry per atom. Number 20: final energy -0.3434 Ry per atom. Number 21: final energy -0.2804 Ry per atom. Number 22: final energy -0.4146 Ry per atom. Number 23: final energy -0.3392 Ry per atom. Number 24: final energy -0.2005 Ry per atom.